An optimized crystal structure of LaRu2. Source: Alexandria via LeMat-Bulk, functional GGA-PBE.

Results
ΔH_f (0 K) = 0.279 eV/atom
DFT total energy = -7.5476 eV/atom

a = 3.6394 Å, b = 3.6394 Å, c = 4.9563 Å
α = 90.00°, β = 90.00°, γ = 90.00°
Each line ends with the local moment (μB).
Positions (direct):
La: 0.0000 0.0000 0.0000  0.00
Ru: 0.0000 0.5000 0.5000  0.28
Ru: 0.5000 0.0000 0.5000  0.28